GdZrCu4: optimized geometry, GGA-PBE.

Cell lengths 5.1730, 5.1730, 5.1730 Å; angles 60.00, 60.00, 60.00 degrees
Last column: nearest neighbours and their distance in Å.
Element x y z (fractional)
Gd1 0.0000 0.0000 0.0000  12 Cu 3.03, 4 Zr 3.17
Cu1 0.6242 0.6242 0.1275  6 Cu 2.57-2.60
Cu2 0.6242 0.1275 0.6242  6 Cu 2.57-2.60
Cu3 0.6242 0.6242 0.6242  6 Cu 2.57-2.60
Cu4 0.1275 0.6242 0.6242  6 Cu 2.57-2.60
Zr1 0.2500 0.2500 0.2500  12 Cu 3.03, 4 Gd 3.17

- crystal system = cubic
- total energy (eV per atom) = -6.5681
- M_tot (μB/f.u.) = 6.89



GdZrCu2: optimized geometry, GGA-PBE.

Cell lengths 3.3761, 3.3761, 6.8451 Å; angles 90.00, 90.00, 90.00 degrees
Last column: nearest neighbours and their distance in Å.
Element x y z (fractional)
Gd1 0.5000 0.5000 0.5000  8 Cu 3.09, 4 Gd 3.38, 2 Zr 3.42
Cu1 0.0000 0.0000 0.7864  4 Zr 2.80, 1 Cu 2.92, 4 Gd 3.09
Cu2 0.0000 0.0000 0.2136  4 Zr 2.80, 1 Cu 2.92, 4 Gd 3.09
Zr1 0.5000 0.5000 0.0000  8 Cu 2.80

- crystal system = tetragonal
- total energy (eV per atom) = -7.8447
- M_tot (μB/f.u.) = 8.00



GdZrCu: optimized geometry, GGA-PBE.

Cell lengths 3.3610, 3.3610, 6.3469 Å; angles 105.35, 105.35, 90.00 degrees
Last column: nearest neighbours and their distance in Å.
Element x y z (fractional)
Gd1 0.0089 0.0089 0.0179  4 Cu 3.14, 4 Zr 3.35, 4 Gd 3.36
Zr1 0.3079 0.3079 0.6159  4 Cu 2.79
Cu1 0.6831 0.6831 0.3662  4 Zr 2.79

- crystal system = tetragonal
- total energy (eV per atom) = -8.9645
- M_tot (μB/f.u.) = 7.38



Gd2ZrCu: optimized geometry, GGA-PBE.

Cell lengths 3.4233, 3.4233, 8.3235 Å; angles 90.00, 90.00, 90.00 degrees
Last column: nearest neighbours and their distance in Å.
Element x y z (fractional)
Gd1 0.0000 0.0000 0.7805  4 Cu 3.03, 4 Zr 3.36
Gd2 0.0000 0.0000 0.2195  4 Cu 3.03, 4 Zr 3.36
Cu1 0.5000 0.5000 0.0000  8 Gd 3.03
Zr1 0.5000 0.5000 0.5000  8 Gd 3.36, 4 Zr 3.42

- crystal system = tetragonal
- total energy (eV per atom) = -10.2456
- M_tot (μB/f.u.) = 14.34



Number 1: DFT formation energy -0.0658 eV/atom. Number 2: DFT formation energy -0.1394 eV/atom. Number 3: DFT formation energy -0.0561 eV/atom. Number 4: DFT formation energy -0.0441 eV/atom.